An optimized crystal structure of Dy2HgPd3. Source: the Alexandria database, functional GGA-PBE.

Geometry as extended XYZ:
```
12
Lattice="6.2602 -3.8867 0.0000 6.2602 3.8867 0.0000 0.0000 0.0000 5.6140" Properties=species:S:1:pos:R:3 pbc="T T T"
Dy 4.1982 2.5094 4.2105
Dy 8.3222 2.5094 4.2105
Dy 4.1982 -2.5094 1.4035
Dy 8.3222 -2.5094 1.4035
Hg 6.2602 1.4357 1.4035
Hg 6.2602 -1.4357 4.2105
Pd 0.0000 0.0000 0.0000
Pd 0.0000 0.0000 2.8070
Pd 4.1843 0.0000 0.0000
Pd 4.1843 0.0000 2.8070
Pd 8.3360 0.0000 0.0000
Pd 8.3360 0.0000 2.8070
```

Values from the calculation:
ΔH_f (0 K) (eV per atom): -0.621
E_tot (eV per cell): -57.6

---

An optimized crystal structure of Ho8TmIr6. Source: the Alexandria database, functional GGA-PBE.

Geometry as extended XYZ:
```
15
Lattice="4.1148 2.3757 5.9669 -4.1148 2.3757 5.9669 0.0000 -4.7514 5.9669" Properties=species:S:1:pos:R:3 pbc="T T T"
Ho -1.3616 -2.3686 6.9471
Ho 0.0000 0.0000 2.9892
Ho -2.7321 -0.0051 10.9535
Ho -1.3705 2.3635 6.9471
Ho 1.3705 -2.3635 10.9535
Ho 2.7321 0.0051 6.9471
Ho 0.0000 0.0000 14.9114
Ho 1.3616 2.3686 10.9535
Tm 0.0000 0.0000 8.9503
Ir -2.7384 -0.0011 7.9384
Ir -1.3683 -2.3721 9.9622
Ir 1.3701 -2.3710 7.9384
Ir -1.3701 2.3710 9.9622
Ir 1.3683 2.3721 7.9384
Ir 2.7384 0.0011 9.9622
```

Values from the calculation:
ΔH_f (0 K) (eV per atom): -0.821
E_tot (eV per cell): -106.6

---

An optimized crystal structure of Ho4ScIr5. Source: the Alexandria database, functional GGA-PBE.

Geometry as extended XYZ:
```
10
Lattice="3.2945 0.0000 0.0000 0.0000 3.2945 0.0000 0.0000 0.0000 17.6745" Properties=species:S:1:pos:R:3 pbc="T T T"
Ho 0.0000 0.0000 1.8034
Ho 0.0000 0.0000 5.4054
Ho 0.0000 0.0000 12.2692
Ho 0.0000 0.0000 15.8712
Sc 0.0000 0.0000 8.8373
Ir 1.6472 1.6472 0.0000
Ir 1.6472 1.6472 3.6130
Ir 1.6472 1.6472 7.2423
Ir 1.6472 1.6472 10.4322
Ir 1.6472 1.6472 14.0615
```

Values from the calculation:
ΔH_f (0 K) (eV per atom): -0.866
E_tot (eV per cell): -77.6